Computed, not measured: a relaxed Cr2CuRh crystal at the PBE-GGA level of DFT.

Calculated values
Fermi-level density of states: 2.99 states/eV/f.u.
Magnetization: 0.290 μB per atom
Volume: 12.86 Å³/atom
Formation energy: 105 meV per atom
Density: 8.733 g cm⁻³

Cell: 2.9923 2.9923 5.7428 Å, 90.00 90.00 90.00°
With the nearest neighbours (Å) after each atom.
Space group P4mm (No. 99)
One atom of each set of equivalent atoms:
Cr (0.0000, 0.0000, 0.0000) [1 per cell]  4 Cr 2.50, 4 Rh 2.59, 1 Cu 2.72
Cr (0.5000, 0.5000, 0.2303) [1 per cell]  4 Cr 2.50, 4 Cu 2.53
Cu (0.0000, 0.0000, 0.4731) [1 per cell]  5 Cr 2.53-2.72, 4 Rh 2.61
Rh (0.5000, 0.5000, 0.7397) [1 per cell]  5 Cr 2.59-2.82, 4 Cu 2.61